Entry from the Alexandria database: a relaxed structure of Tm3Zr2Tl3 (GGA-PBE).

Computed properties:
Calculated formation energy (eV/atom): -0.182

Cell lengths 11.326, 11.326, 11.326 Å; angles 161.38, 153.76, 32.37 degrees
Element x y z (fractional)
1 Tm 0.000 0.000 0.000
2 Tm 0.374 0.874 0.500
3 Tm 0.626 0.126 0.500
4 Zr 0.249 0.249 0.000
5 Zr 0.751 0.751 0.000
6 Tl 0.134 0.634 0.500
7 Tl 0.500 0.500 0.000
8 Tl 0.866 0.366 0.500

=====

Entry from the Alexandria database: a relaxed structure of YBeCo2 (GGA-PBE).

Computed properties:
Calculated formation energy (eV/atom): 0.091

Cell lengths 3.023, 3.023, 6.301 Å; angles 90.00, 90.00, 90.00 degrees
Element x y z (fractional)
1 Y 0.000 0.000 0.000
2 Be 0.500 0.500 0.330
3 Co 0.000 0.000 0.488
4 Co 0.500 0.500 0.684

=====

Entry from the Alexandria database: a relaxed structure of TiCo3H (GGA-PBE).

Computed properties:
Distance to the lowest polymorph of the same formula (meV/atom): 46

Cell lengths 5.185, 5.185, 4.197 Å; angles 90.00, 90.00, 120.00 degrees
Element x y z (fractional)
1 Ti 0.000 0.000 0.000
2 Ti 0.333 0.667 0.523
3 Co 0.333 0.167 0.511
4 Co 0.512 0.024 0.003
5 Co 0.512 0.488 0.003
6 Co 0.833 0.167 0.511
7 Co 0.833 0.667 0.511
8 Co 0.976 0.488 0.003
9 H 0.333 0.667 0.040
10 H 0.667 0.333 0.282

=====

Entry from the Alexandria database: a relaxed structure of CrPtS2N (GGA-PBE).

Computed properties:
Distance to the lowest polymorph of the same formula (meV/atom): 667
Raw formation energy (eV per atom): 1.13

Cell lengths 4.909, 4.909, 3.642 Å; angles 90.00, 90.00, 90.00 degrees
Element x y z (fractional)
1 Cr 0.000 0.000 0.000
2 Pt 0.500 0.500 0.500
3 S 0.000 0.500 0.500
4 S 0.500 0.000 0.500
5 N 0.500 0.500 0.000

=====

Entry from the Alexandria database: a relaxed structure of Tb3HSe3 (GGA-PBE).

Computed properties:
Final energy (eV/atom): -5.430

Cell lengths 7.500, 7.500, 7.500 Å; angles 67.53, 67.53, 67.53 degrees
Element x y z (fractional)
1 Tb 0.102 0.807 0.349
2 Tb 0.193 0.651 0.898
3 Tb 0.349 0.102 0.807
4 Tb 0.651 0.898 0.193
5 Tb 0.807 0.349 0.102
6 Tb 0.898 0.193 0.651
7 H 0.113 0.113 0.113
8 H 0.887 0.887 0.887
9 Se 0.054 0.470 0.715
10 Se 0.285 0.946 0.530
11 Se 0.470 0.715 0.054
12 Se 0.530 0.285 0.946
13 Se 0.715 0.054 0.470
14 Se 0.946 0.530 0.285

=====

Entry from the Alexandria database: a relaxed structure of Pr5Tl2AgRh2 (GGA-PBE).

Computed properties:
Calculated formation energy (eV/atom): -0.443

Cell lengths 12.141, 12.141, 3.816 Å; angles 90.00, 90.00, 90.00 degrees
Element x y z (fractional)
1 Pr 0.000 0.500 0.000
2 Pr 0.078 0.203 0.000
3 Pr 0.203 0.922 0.000
4 Pr 0.297 0.422 0.000
5 Pr 0.422 0.703 0.000
6 Pr 0.500 0.000 0.000
7 Pr 0.578 0.297 0.000
8 Pr 0.703 0.578 0.000
9 Pr 0.797 0.078 0.000
10 Pr 0.922 0.797 0.000
11 Tl 0.174 0.674 0.500
12 Tl 0.326 0.174 0.500
13 Tl 0.674 0.826 0.500
14 Tl 0.826 0.326 0.500
15 Ag 0.000 0.000 0.500
16 Ag 0.500 0.500 0.500
17 Rh 0.132 0.368 0.500
18 Rh 0.368 0.868 0.500
19 Rh 0.632 0.132 0.500
20 Rh 0.868 0.632 0.500

=====

Entry from the Alexandria database: a relaxed structure of USn2Pb (GGA-PBE).

Computed properties:
Distance to the lowest polymorph of the same formula (meV/atom): 111
Calculated formation energy (eV/atom): 0.087

Cell lengths 4.073, 4.073, 6.521 Å; angles 90.00, 90.00, 90.00 degrees
Element x y z (fractional)
1 U 0.000 0.000 0.000
2 Sn 0.500 0.500 0.242
3 Sn 0.500 0.500 0.758
4 Pb 0.000 0.000 0.500

=====

Entry from the Alexandria database: a relaxed structure of PmThPdRu (GGA-PBE).

Computed properties:
Distance to the lowest polymorph of the same formula (meV/atom): 123
Calculated formation energy (eV/atom): -0.510

Cell lengths 5.041, 5.041, 5.041 Å; angles 60.00, 60.00, 60.00 degrees
Element x y z (fractional)
1 Pm 0.000 0.000 0.000
2 Th 0.500 0.500 0.500
3 Pd 0.750 0.750 0.750
4 Ru 0.250 0.250 0.250

=====

Which formula does entry 1 have?
Tm3Zr2Tl3